No. 1
Crystalline SmUAlO6 at its relaxed geometry. Source: Alexandria, functional PBE.

Lattice parameters (Å, degrees): 5.3051 5.3051 10.0284 90.00 90.00 120.00
Last column: nearest neighbours and their distance in Å.
Fractional positions:
1 U 0.3333 0.6667 0.7500  6 O 2.09
2 O 0.0215 0.6518 0.3577  1 Al 1.94, 1 U 2.09
3 O 0.9785 0.3482 0.6423  1 Al 1.94, 1 U 2.09
4 O 0.6303 0.9785 0.3577  1 Al 1.94, 1 U 2.09
5 O 0.3697 0.3482 0.8577  1 Al 1.94, 1 U 2.09
6 O 0.6518 0.6303 0.6423  1 Al 1.94, 1 U 2.09
7 Al 0.3333 0.6667 0.2500  6 O 1.94
8 Al 0.6667 0.3333 0.7500  6 O 1.94
9 O 0.3697 0.0215 0.6423  1 Al 1.94, 1 U 2.09
10 Sm 0.0000 0.0000 0.5000  6 O 2.38
11 O 0.6303 0.6518 0.1423  1 Al 1.94, 1 U 2.09
12 O 0.9785 0.6303 0.8577  1 Al 1.94, 1 U 2.09
13 O 0.3482 0.3697 0.3577  1 Al 1.94, 1 U 2.09
14 Sm 0.0000 0.0000 0.0000  6 O 2.38
15 U 0.6667 0.3333 0.2500  6 O 2.09
16 O 0.3482 0.9785 0.1423  1 Al 1.94, 1 U 2.09
17 O 0.6518 0.0215 0.8577  1 Al 1.94, 1 U 2.09
18 O 0.0215 0.3697 0.1423  1 Al 1.94, 1 U 2.09

Results
Symmetry = No. 163
E_form (uncorrected) = -3.16 eV/atom

=====

No. 2
Crystalline Al2O at its relaxed geometry. Source: Alexandria, functional PBE.

Lattice parameters (Å, degrees): 2.9209 4.4533 8.4347 90.00 110.13 90.00
Last column: nearest neighbours and their distance in Å.
Fractional positions:
1 Al 0.3185 0.4709 0.0695  5 Al 2.59-2.88
2 Al 0.6379 0.6125 0.3871  3 O 1.80-1.82
3 O 0.7967 0.3186 0.5470  3 Al 1.80-1.82
4 Al 0.3621 0.1125 0.6129  3 O 1.80-1.82
5 Al 0.6815 0.9709 0.9305  5 Al 2.59-2.88
6 O 0.2033 0.8186 0.4530  3 Al 1.80-1.82

Results
Symmetry = No. 4
Offset from the most stable computed form = 1 meV per atom
E_form (uncorrected) = -1.45 eV/atom

=====

No. 3
Crystalline RbGaPb2Cl8 at its relaxed geometry. Source: Alexandria, functional PBE.

Lattice parameters (Å, degrees): 6.6384 6.3935 8.8426 89.74 89.98 88.31
Last column: nearest neighbours and their distance in Å.
Fractional positions:
1 Cl 0.6996 0.7778 0.9993  1 Ga 2.48
2 Rb 0.0000 0.0000 0.5000  6 Cl 3.14-3.20
3 Cl 0.1455 0.7788 0.1930  1 Ga 2.40
4 Cl 0.1473 0.7816 0.8087  1 Ga 2.39
5 Cl 0.6132 0.7297 0.4995  2 Pb 2.84-2.85, 1 Rb 3.14
6 Cl 0.8527 0.2184 0.1913  1 Ga 2.39
7 Pb 0.5000 0.4987 0.7603  6 Cl 2.84-3.10
8 Cl 0.3868 0.2703 0.5005  2 Pb 2.84-2.85, 1 Rb 3.14
9 Pb 0.5000 0.5013 0.2397  6 Cl 2.84-3.10
10 Cl 0.3004 0.2222 0.0007  1 Ga 2.48
11 Ga 0.0000 0.0000 0.0000  6 Cl 2.39-2.48
12 Cl 0.8545 0.2212 0.8070  1 Ga 2.40

Results
Symmetry = No. 2
E_form (uncorrected) = -1.21 eV/atom

=====

no.,magnetic moment (μB/f.u.)
1,0.0
2,0.0
3,0.0